Below is a relaxed NbCdPd crystal, with properties calculated at the PBE level.

Cell: 4.418 4.418 4.418 Å, 60.00 60.00 60.00°
Fractional coordinates of all 3 atoms:
Cd 0.250 0.250 0.250
Nb 0.750 0.750 0.750
Pd 0.000 0.000 0.000

The calculation puts the formation energy from the elements at 186 meV/atom. Its energy above the most stable polymorph in this dataset is 0.000 eV per atom. Its volume is 61.0 Å³/f.u. For the total energy, the calculation gives -5.2022 eV per atom.



Below is a relaxed PmNbCd crystal, with properties calculated at the PBE level.

Cell: 4.911 4.911 4.911 Å, 60.00 60.00 60.00°
Site moments in Bohr magnetons follow the coordinates.
Fractional coordinates of all 3 atoms:
Cd 0.500 0.500 0.500  0.00
Nb 0.250 0.250 0.250  1.79
Pm 0.000 0.000 0.000  0.32

The calculation puts the formation energy from the elements at 828 meV/atom. Its energy above the most stable polymorph in this dataset is 0.000 eV per atom. Its volume is 83.7 Å³/f.u. For the total energy, the calculation gives -4.4170 eV per atom.



Below is a relaxed PmNbCd crystal, with properties calculated at the PBE level.

Cell: 4.987 4.987 4.987 Å, 60.00 60.00 60.00°
Site moments in Bohr magnetons follow the coordinates.
Fractional coordinates of all 3 atoms:
Cd 0.500 0.500 0.500  -0.03
Nb 0.000 0.000 0.000  2.12
Pm 0.250 0.250 0.250  0.34

The calculation puts the formation energy from the elements at 1110 meV/atom. Its energy above the most stable polymorph in this dataset is 0.282 eV per atom. Its volume is 87.7 Å³/f.u. For the total energy, the calculation gives -4.1349 eV per atom.



Below is a relaxed PrNbCd crystal, with properties calculated at the PBE level.

Cell: 4.943 4.943 4.943 Å, 60.00 60.00 60.00°
Site moments in Bohr magnetons follow the coordinates.
Fractional coordinates of all 3 atoms:
Cd 0.250 0.250 0.250  0.00
Nb 0.000 0.000 0.000  1.78
Pr 0.750 0.750 0.750  0.27

The calculation puts the formation energy from the elements at 821 meV/atom. Its energy above the most stable polymorph in this dataset is 0.000 eV per atom. Its volume is 85.4 Å³/f.u. For the total energy, the calculation gives -4.4335 eV per atom.



Below is a relaxed PrNbCd crystal, with properties calculated at the PBE level.

Cell: 5.039 5.039 5.039 Å, 60.00 60.00 60.00°
Site moments in Bohr magnetons follow the coordinates.
Fractional coordinates of all 3 atoms:
Cd 0.250 0.250 0.250  -0.03
Nb 0.750 0.750 0.750  2.13
Pr 0.000 0.000 0.000  0.28

The calculation puts the formation energy from the elements at 1138 meV/atom. Its energy above the most stable polymorph in this dataset is 0.316 eV per atom. Its volume is 90.5 Å³/f.u. For the total energy, the calculation gives -4.1172 eV per atom.



Below is a relaxed RbNbCdS3 crystal, with properties calculated at the PBE level.

Cell: 7.875 7.875 10.199 Å, 90.00 90.00 151.96°
Site moments in Bohr magnetons follow the coordinates.
Fractional coordinates of all 12 atoms:
Cd 0.545 0.455 0.250  0.02
Cd 0.455 0.545 0.750  0.02
Nb 0.000 0.000 0.000  1.54
Nb 0.000 0.000 0.500  1.54
Rb 0.256 0.744 0.250  0.01
Rb 0.744 0.256 0.750  0.01
S 0.616 0.384 0.032  0.01
S 0.936 0.064 0.250  0.01
S 0.616 0.384 0.468  0.01
S 0.384 0.616 0.532  0.01
S 0.064 0.936 0.750  0.01
S 0.384 0.616 0.968  0.01

Its energy above the most stable polymorph in this dataset is 0.159 eV per atom. Its volume is 148.7 Å³/f.u. For the total energy, the calculation gives -4.7732 eV per atom.



Below is a relaxed RbNbCdS3 crystal, with properties calculated at the PBE level.

Cell: 8.035 3.687 10.792 Å, 90.00 108.41 90.00°
Fractional coordinates of all 12 atoms:
Cd 0.484 0.750 0.375
Cd 0.516 0.250 0.625
Nb 0.468 0.250 0.097
Nb 0.532 0.750 0.903
Rb 0.029 0.250 0.293
Rb 0.971 0.750 0.707
S 0.691 0.750 0.135
S 0.273 0.750 0.146
S 0.706 0.250 0.459
S 0.294 0.750 0.541
S 0.727 0.250 0.854
S 0.309 0.250 0.865

Its energy above the most stable polymorph in this dataset is 0.000 eV per atom. Its volume is 151.7 Å³/f.u. For the total energy, the calculation gives -4.9325 eV per atom.



Below is a relaxed RbNbCdSe3 crystal, with properties calculated at the PBE level.

Cell: 8.685 3.852 10.928 Å, 90.00 112.40 90.00°
Fractional coordinates of all 12 atoms:
Cd 0.033 0.250 0.126
Cd 0.967 0.750 0.874
Nb 0.027 0.750 0.403
Nb 0.973 0.250 0.597
Rb 0.456 0.750 0.222
Rb 0.544 0.250 0.778
Se 0.804 0.750 0.050
Se 0.805 0.250 0.346
Se 0.236 0.250 0.376
Se 0.764 0.750 0.624
Se 0.195 0.750 0.654
Se 0.196 0.250 0.950

Its energy above the most stable polymorph in this dataset is 0.000 eV per atom. Its volume is 169.0 Å³/f.u. For the total energy, the calculation gives -4.5244 eV per atom.



Below is a relaxed RbNbCdSe3 crystal, with properties calculated at the PBE level.

Cell: 8.113 8.113 10.618 Å, 90.00 90.00 151.57°
Site moments in Bohr magnetons follow the coordinates.
Fractional coordinates of all 12 atoms:
Cd 0.542 0.458 0.250  0.02
Cd 0.458 0.542 0.750  0.02
Nb 0.000 0.000 0.000  1.58
Nb 0.000 0.000 0.500  1.59
Rb 0.249 0.751 0.250  0.01
Rb 0.751 0.249 0.750  0.01
Se 0.619 0.381 0.032  0.00
Se 0.932 0.068 0.250  0.00
Se 0.619 0.381 0.468  0.00
Se 0.381 0.619 0.532  0.00
Se 0.068 0.932 0.750  0.00
Se 0.381 0.619 0.968  0.00

Its energy above the most stable polymorph in this dataset is 0.126 eV per atom. Its volume is 166.4 Å³/f.u. For the total energy, the calculation gives -4.3979 eV per atom.



Below is a relaxed NbCdRe crystal, with properties calculated at the PBE level.

Cell: 4.457 4.457 4.457 Å, 60.00 60.00 60.00°
Fractional coordinates of all 3 atoms:
Cd 0.250 0.250 0.250
Nb 0.750 0.750 0.750
Re 0.000 0.000 0.000

The calculation puts the formation energy from the elements at 831 meV/atom. Its energy above the most stable polymorph in this dataset is 0.000 eV per atom. Its volume is 62.6 Å³/f.u. For the total energy, the calculation gives -6.9730 eV per atom.



Below is a relaxed NbTlCdS3 crystal, with properties calculated at the PBE level.

Cell: 7.605 3.605 11.070 Å, 90.00 106.46 90.00°
Fractional coordinates of all 12 atoms:
Cd 0.479 0.750 0.370
Cd 0.521 0.250 0.630
Nb 0.460 0.250 0.094
Nb 0.540 0.750 0.906
S 0.698 0.750 0.130
S 0.258 0.750 0.151
S 0.716 0.250 0.461
S 0.284 0.750 0.539
S 0.742 0.250 0.849
S 0.302 0.250 0.870
Tl 0.016 0.250 0.314
Tl 0.984 0.750 0.686

Its energy above the most stable polymorph in this dataset is 0.000 eV per atom. Its volume is 145.5 Å³/f.u. For the total energy, the calculation gives -4.9077 eV per atom.



Below is a relaxed NbTlCdS3 crystal, with properties calculated at the PBE level.

Cell: 8.593 8.593 9.815 Å, 90.00 90.00 156.23°
Fractional coordinates of all 12 atoms:
Cd 0.143 0.857 0.250
Cd 0.857 0.143 0.750
Nb 0.500 0.500 0.000
Nb 0.500 0.500 0.500
S 0.896 0.104 0.025
S 0.521 0.479 0.250
S 0.896 0.104 0.475
S 0.104 0.896 0.525
S 0.479 0.521 0.750
S 0.104 0.896 0.975
Tl 0.792 0.208 0.250
Tl 0.208 0.792 0.750

Its energy above the most stable polymorph in this dataset is 0.099 eV per atom. Its volume is 146.1 Å³/f.u. For the total energy, the calculation gives -4.8083 eV per atom.



Below is a relaxed NbCdSb2 crystal, with properties calculated at the PBE level.

Cell: 5.072 5.072 5.072 Å, 60.00 60.00 60.00°
Site moments in Bohr magnetons follow the coordinates.
Fractional coordinates of all 4 atoms:
Cd 0.750 0.750 0.750  0.01
Nb 0.000 0.000 0.000  1.09
Sb 0.250 0.250 0.250  -0.06
Sb 0.500 0.500 0.500  -0.01

Its volume is 92.3 Å³/f.u. For the total energy, the calculation gives -4.2828 eV per atom.



Below is a relaxed NbCd2Sb crystal, with properties calculated at the PBE level.

Cell: 4.936 4.936 4.936 Å, 60.00 60.00 60.00°
Site moments in Bohr magnetons follow the coordinates.
Fractional coordinates of all 4 atoms:
Cd 0.000 0.000 0.000  -0.01
Cd 0.750 0.750 0.750  -0.01
Nb 0.250 0.250 0.250  0.26
Sb 0.500 0.500 0.500  -0.01

Its volume is 85.1 Å³/f.u. For the total energy, the calculation gives -3.6000 eV per atom.



Below is a relaxed Nb2ZnCdSb4 crystal, with properties calculated at the PBE level.

Cell: 7.778 7.778 7.778 Å, 131.43 131.43 71.13°
Site moments in Bohr magnetons follow the coordinates.
Fractional coordinates of all 8 atoms:
Cd 0.000 0.000 0.000  0.01
Nb 0.500 0.500 0.000  0.92
Nb 0.750 0.250 0.500  0.90
Sb 0.131 0.609 0.003  -0.05
Sb 0.871 0.869 0.478  -0.05
Sb 0.391 0.394 0.522  -0.05
Sb 0.606 0.129 0.997  -0.05
Zn 0.250 0.750 0.500  0.01

Its volume is 258.9 Å³/f.u. For the total energy, the calculation gives -4.4770 eV per atom.



Below is a relaxed ScNb2Cd crystal, with properties calculated at the PBE level.

Cell: 4.787 4.787 4.787 Å, 60.00 60.00 60.00°
Fractional coordinates of all 4 atoms:
Cd 0.500 0.500 0.500
Nb 0.000 0.000 0.000
Nb 0.250 0.250 0.250
Sc 0.750 0.750 0.750

The calculation puts the formation energy from the elements at 140 meV/atom. Its volume is 77.6 Å³/f.u. For the total energy, the calculation gives -6.7127 eV per atom.



Below is a relaxed NbCdSi crystal, with properties calculated at the PBE level.

Cell: 4.342 4.342 4.342 Å, 60.00 60.00 60.00°
Fractional coordinates of all 3 atoms:
Cd 0.250 0.250 0.250
Nb 0.750 0.750 0.750
Si 0.000 0.000 0.000

Its volume is 57.9 Å³/f.u. For the total energy, the calculation gives -5.1789 eV per atom.



Below is a relaxed NbCd2Si crystal, with properties calculated at the PBE level.

Cell: 4.690 4.690 4.690 Å, 60.00 60.00 60.00°
Site moments in Bohr magnetons follow the coordinates.
Fractional coordinates of all 4 atoms:
Cd 0.000 0.000 0.000  0.00
Cd 0.750 0.750 0.750  0.00
Nb 0.250 0.250 0.250  0.42
Si 0.500 0.500 0.500  0.00

Its volume is 72.9 Å³/f.u. For the total energy, the calculation gives -3.8810 eV per atom.



Below is a relaxed SmNbCd crystal, with properties calculated at the PBE level.

Cell: 4.970 4.970 4.970 Å, 60.00 60.00 60.00°
Fractional coordinates of all 3 atoms:
Cd 0.250 0.250 0.250
Nb 0.750 0.750 0.750
Sm 0.000 0.000 0.000

The calculation puts the formation energy from the elements at 1101 meV/atom. Its energy above the most stable polymorph in this dataset is 0.268 eV per atom. Its volume is 86.8 Å³/f.u. For the total energy, the calculation gives -4.1329 eV per atom.



Below is a relaxed SmNbCd crystal, with properties calculated at the PBE level.

Cell: 4.900 4.900 4.900 Å, 60.00 60.00 60.00°
Site moments in Bohr magnetons follow the coordinates.
Fractional coordinates of all 3 atoms:
Cd 0.250 0.250 0.250  0.00
Nb 0.000 0.000 0.000  1.79
Sm 0.750 0.750 0.750  0.32

The calculation puts the formation energy from the elements at 833 meV/atom. Its energy above the most stable polymorph in this dataset is 0.000 eV per atom. Its volume is 83.2 Å³/f.u. For the total energy, the calculation gives -4.4009 eV per atom.